No. 1
Compound: Te2MoRu
Source: Alexandria via LeMat-Bulk
Functional: PBE
Structure: relaxed

Computed properties:
- mass density (g/cm³) = 9.53
- formation energy without anion corrections (kJ/mol of atoms) = 45
- crystal system = orthorhombic
- magnetic moment (μB per formula unit) = 0.0
- E_tot (eV/atom) = -6.133

Cell: 3.3141 4.5482 10.4572 Å, 90.00 90.00 90.00°
Space group Imm2 (No. 44)
Asymmetric unit:
Te 0.0000 0.0000 0.0000 [2 per cell]
Te 0.0000 0.5000 0.2217 [2 per cell]
Mo 0.0000 0.0000 0.5047 [2 per cell]
Ru 0.0000 0.5000 0.7088 [2 per cell]



No. 2
Compound: AgRu3
Source: Alexandria via LeMat-Bulk
Functional: PBE
Structure: relaxed

Computed properties:
- ΔE_f (eV per atom) = 0.22
- mass density (g/cm³) = 11.48
- crystal system = hexagonal
- magnetic moment (μB per formula unit) = 0.0
- E_tot (eV/atom) = -7.453

Cell: 2.7532 2.7532 9.0542 Å, 90.00 90.00 120.00°
Space group P-6m2 (No. 187)
Asymmetric unit:
Ag 0.0000 0.0000 0.0000 [1 per cell]
Ru 0.0000 0.0000 0.5000 [1 per cell]
Ru 0.3333 0.6667 0.2711 [2 per cell]



No. 3
Compound: Er8In2Ru
Source: Alexandria via LeMat-Bulk
Functional: PBE
Structure: relaxed

Computed properties:
- ΔE_f (eV per atom) = -0.28
- mass density (g/cm³) = 9.31
- crystal system = monoclinic
- magnetic moment (μB per formula unit) = 0.0
- E_tot (eV/atom) = -4.939

Cell: 17.2158 5.4070 6.9317 Å, 90.00 112.68 90.00°
Space group C2/m (No. 12)
Asymmetric unit:
Er 0.0092 0.0000 0.2692 [4 per cell]
Er 0.1068 0.5000 0.9036 [4 per cell]
Er 0.1392 0.5000 0.4093 [4 per cell]
Er 0.1928 0.0000 0.7390 [4 per cell]
In 0.1835 0.0000 0.1902 [4 per cell]
Ru 0.0000 0.5000 0.5000 [2 per cell]



No. 4
Compound: LiPrTlPt
Source: Alexandria via LeMat-Bulk
Functional: PBE
Structure: relaxed

Computed properties:
- ΔE_f (eV per atom) = -0.55
- mass density (g/cm³) = 10.60
- crystal system = cubic
- magnetic moment (μB per formula unit) = 0.0
- E_tot (eV/atom) = -4.327

Cell: 6.9993 6.9993 6.9993 Å, 90.00 90.00 90.00°
Space group F-43m (No. 216)
Asymmetric unit:
Li 0.0000 0.0000 0.0000 [4 per cell]
Pr 0.2500 0.2500 0.2500 [4 per cell]
Tl 0.2500 0.2500 0.7500 [4 per cell]
Pt 0.0000 0.0000 0.5000 [4 per cell]



No. 5
Compound: TlPd2S
Source: Alexandria via LeMat-Bulk
Functional: PBE
Structure: relaxed

Computed properties:
- mass density (g/cm³) = 10.55
- formation energy without anion corrections (kJ/mol of atoms) = 6
- crystal system = cubic
- magnetic moment (μB per formula unit) = 0.0
- E_tot (eV/atom) = -4.160

Cell: 6.5645 6.5645 6.5645 Å, 90.00 90.00 90.00°
Space group Fm-3m (No. 225)
Asymmetric unit:
Tl 0.0000 0.0000 0.0000 [4 per cell]
Pd 0.2500 0.2500 0.2500 [8 per cell]
S 0.0000 0.0000 0.5000 [4 per cell]



No. 6
Compound: Ge2PdRh
Source: Alexandria via LeMat-Bulk
Functional: PBE
Structure: relaxed

Computed properties:
- ΔE_f (eV per atom) = -0.31
- mass density (g/cm³) = 9.41
- crystal system = trigonal
- magnetic moment (μB per formula unit) = 0.0
- E_tot (eV/atom) = -5.760

Cell: 3.0344 3.0344 23.5428 Å, 90.00 90.00 120.00°
Space group R3m (No. 160, hexagonal axes)
Asymmetric unit:
Ge 0.0000 0.0000 0.0000 [3 per cell]
Ge 0.0000 0.0000 0.1730 [3 per cell]
Pd 0.0000 0.0000 0.7509 [3 per cell]
Rh 0.0000 0.0000 0.5886 [3 per cell]



No. 7
Compound: BiAs3
Source: Alexandria via LeMat-Bulk
Functional: PBE
Structure: relaxed

Computed properties:
- ΔE_f (eV per atom) = 0.15
- mass density (g/cm³) = 7.46
- crystal system = tetragonal
- magnetic moment (μB per formula unit) = 0.0
- E_tot (eV/atom) = -4.311

Cell: 4.1053 4.1053 11.4615 Å, 90.00 90.00 90.00°
Space group I4/mmm (No. 139)
Asymmetric unit:
Bi 0.0000 0.0000 0.0000 [2 per cell]
As 0.0000 0.0000 0.2590 [4 per cell]
As 0.0000 0.0000 0.5000 [2 per cell]



No. 8
Compound: Y3Zn9Sn2
Source: Alexandria via LeMat-Bulk
Functional: PBE
Structure: relaxed

Computed properties:
- ΔE_f (eV per atom) = -0.35
- mass density (g/cm³) = 6.65
- crystal system = orthorhombic
- magnetic moment (μB per formula unit) = 0.0
- E_tot (eV/atom) = -3.125

Cell: 4.2977 9.9971 12.7121 Å, 90.00 90.00 90.00°
Space group Immm (No. 71)
Asymmetric unit:
Y 0.0000 0.0000 0.0000 [2 per cell]
Y 0.0000 0.0000 0.3056 [4 per cell]
Zn 0.0000 0.2657 0.1555 [8 per cell]
Zn 0.0000 0.3777 0.3373 [8 per cell]
Zn 0.0000 0.5000 0.0000 [2 per cell]
Sn 0.0000 0.2062 0.5000 [4 per cell]



No. 9
Compound: PmGa5Pt7
Source: Alexandria via LeMat-Bulk
Functional: PBE
Structure: relaxed

Computed properties:
- ΔE_f (eV per atom) = -0.64
- mass density (g/cm³) = 14.32
- crystal system = orthorhombic
- magnetic moment (μB per formula unit) = 0.0
- E_tot (eV/atom) = -5.422

Cell: 5.3889 9.0975 8.7942 Å, 90.00 90.00 90.00°
Space group Imm2 (No. 44)
Asymmetric unit:
Pm 0.0000 0.0000 0.0000 [2 per cell]
Ga 0.0000 0.5000 0.7324 [2 per cell]
Ga 0.2450 0.2585 0.2632 [8 per cell]
Pt 0.0000 0.0000 0.3328 [2 per cell]
Pt 0.0000 0.0000 0.6587 [2 per cell]
Pt 0.0000 0.2930 0.5257 [4 per cell]
Pt 0.0000 0.3405 0.9934 [4 per cell]
Pt 0.0000 0.5000 0.2805 [2 per cell]



No. 10
Compound: LaTb3Pm6Tm2
Source: Alexandria via LeMat-Bulk
Functional: PBE
Structure: relaxed

Computed properties:
- ΔE_f (eV per atom) = 0.02
- mass density (g/cm³) = 7.58
- crystal system = monoclinic
- magnetic moment (μB per formula unit) = 0.0
- E_tot (eV/atom) = -4.670

Cell: 6.2616 10.8436 11.9454 Å, 90.00 100.07 90.00°
Space group C2/m (No. 12)
Asymmetric unit:
La 0.0000 0.0000 0.0000 [2 per cell]
Tb 0.0000 0.1672 0.5000 [4 per cell]
Tb 0.0000 0.5000 0.5000 [2 per cell]
Pm 0.2486 0.3326 0.7490 [8 per cell]
Pm 0.2493 0.5000 0.2511 [4 per cell]
Tm 0.0000 0.3334 0.0000 [4 per cell]



No. 11
Compound: ErGa3Co
Source: Alexandria via LeMat-Bulk
Functional: PBE
Structure: relaxed

Computed properties:
- ΔE_f (eV per atom) = -0.51
- mass density (g/cm³) = 8.40
- crystal system = orthorhombic
- magnetic moment (μB per formula unit) = 0.0
- E_tot (eV/atom) = -4.662

Cell: 8.1556 4.0554 10.4075 Å, 90.00 90.00 90.00°
Space group Pnma (No. 62)
Asymmetric unit:
Er 0.1996 0.2500 0.0149 [4 per cell]
Ga 0.0538 0.2500 0.5843 [4 per cell]
Ga 0.1106 0.7500 0.7945 [4 per cell]
Ga 0.1458 0.7500 0.2179 [4 per cell]
Co 0.1093 0.2500 0.3531 [4 per cell]



No. 12
Compound: TlGa2Te
Source: Alexandria via LeMat-Bulk
Functional: PBE
Structure: relaxed

Computed properties:
- mass density (g/cm³) = 5.98
- formation energy without anion corrections (kJ/mol of atoms) = 5
- crystal system = trigonal
- magnetic moment (μB per formula unit) = 0.0
- E_tot (eV/atom) = -2.835

Cell: 3.9533 3.9533 29.0329 Å, 90.00 90.00 120.00°
Space group R-3m (No. 166, hexagonal axes)
Asymmetric unit:
Tl 0.0000 0.0000 0.0000 [3 per cell]
Ga 0.0000 0.0000 0.1042 [6 per cell]
Te 0.0000 0.0000 0.5000 [3 per cell]



No. 13
Compound: Ca2CdH24Cl6O12
Source: Alexandria via LeMat-Bulk
Functional: PBE
Structure: relaxed

Computed properties:
- mass density (g/cm³) = 1.95
- crystal system = monoclinic
- magnetic moment (μB per formula unit) = 0.0
- E_tot (eV/atom) = -4.699

Cell: 9.1234 10.1940 12.7711 Å, 90.00 116.74 90.00°
Space group P2_1/c (No. 14)
Asymmetric unit:
Ca 0.2444 0.0451 0.3571 [4 per cell]
Cd 0.5000 0.0000 0.0000 [2 per cell]
H 0.0006 0.2241 0.8223 [4 per cell]
H 0.0560 0.5095 0.3939 [4 per cell]
H 0.0573 0.0799 0.6457 [4 per cell]
H 0.0825 0.6835 0.9200 [4 per cell]
H 0.0952 0.5627 0.6046 [4 per cell]
H 0.1068 0.6477 0.2208 [4 per cell]
H 0.3047 0.1855 0.1607 [4 per cell]
H 0.3055 0.2095 0.7503 [4 per cell]
H 0.3453 0.6501 0.7203 [4 per cell]
H 0.3825 0.6623 0.0483 [4 per cell]
H 0.3975 0.5385 0.1225 [4 per cell]
H 0.4448 0.6928 0.8535 [4 per cell]
Cl 0.2581 0.6376 0.5250 [4 per cell]
Cl 0.3218 0.5019 0.2681 [4 per cell]
Cl 0.3523 0.2166 0.0091 [4 per cell]
O 0.0060 0.1808 0.3102 [4 per cell]
O 0.0409 0.5444 0.6545 [4 per cell]
O 0.0616 0.5902 0.9008 [4 per cell]
O 0.2891 0.1960 0.2317 [4 per cell]
O 0.3517 0.6390 0.7987 [4 per cell]
O 0.4150 0.5691 0.0557 [4 per cell]



No. 14
Compound: TcSbRuI2
Source: Alexandria via LeMat-Bulk
Functional: PBE
Structure: relaxed

Computed properties:
- mass density (g/cm³) = 6.36
- formation energy without anion corrections (kJ/mol of atoms) = 115
- crystal system = tetragonal
- magnetic moment (μB per formula unit) = 4.5
- E_tot (eV/atom) = -4.182

Cell: 5.4621 5.4621 5.0262 Å, 90.00 90.00 90.00°
Space group P4/mmm (No. 123)
Asymmetric unit:
Tc 0.0000 0.0000 0.0000 [1 per cell]
Sb 0.5000 0.5000 0.0000 [1 per cell]
Ru 0.5000 0.5000 0.5000 [1 per cell]
I 0.0000 0.5000 0.5000 [2 per cell]



No. 15
Compound: InOs2Pt
Source: Alexandria via LeMat-Bulk
Functional: PBE
Structure: relaxed

Computed properties:
- ΔE_f (eV per atom) = 0.49
- mass density (g/cm³) = 17.90
- crystal system = trigonal
- magnetic moment (μB per formula unit) = 0.0
- E_tot (eV/atom) = -7.321

Cell: 2.8530 2.8530 27.2625 Å, 90.00 90.00 120.00°
Space group R-3m (No. 166, hexagonal axes)
Asymmetric unit:
In 0.0000 0.0000 0.0000 [3 per cell]
Os 0.0000 0.0000 0.2472 [6 per cell]
Pt 0.0000 0.0000 0.5000 [3 per cell]



No. 16
Compound: NaZrRe2
Source: Alexandria via LeMat-Bulk
Functional: PBE
Structure: relaxed

Computed properties:
- ΔE_f (eV per atom) = 1.31
- mass density (g/cm³) = 10.72
- crystal system = tetragonal
- magnetic moment (μB per formula unit) = 0.0
- E_tot (eV/atom) = -7.385

Cell: 7.5471 7.5471 5.2944 Å, 90.00 90.00 90.00°
Space group I-42d (No. 122)
Asymmetric unit:
Na 0.0000 0.0000 0.0000 [4 per cell]
Zr 0.0000 0.0000 0.5000 [4 per cell]
Re 0.2500 0.2500 0.3750 [8 per cell]



No. 17
Compound: CaHfZr2
Source: Alexandria via LeMat-Bulk
Functional: PBE
Structure: relaxed

Computed properties:
- ΔE_f (eV per atom) = 0.43
- mass density (g/cm³) = 6.74
- crystal system = cubic
- magnetic moment (μB per formula unit) = 0.0
- E_tot (eV/atom) = -6.836

Cell: 7.3369 7.3369 7.3369 Å, 90.00 90.00 90.00°
Space group Fm-3m (No. 225)
Asymmetric unit:
Ca 0.0000 0.0000 0.0000 [4 per cell]
Hf 0.0000 0.0000 0.5000 [4 per cell]
Zr 0.2500 0.2500 0.2500 [8 per cell]



No. 18
Compound: Ac3NiPd
Source: Alexandria via LeMat-Bulk
Functional: PBE
Structure: relaxed

Computed properties:
- ΔE_f (eV per atom) = -0.40
- mass density (g/cm³) = 8.59
- crystal system = monoclinic
- magnetic moment (μB per formula unit) = 0.0
- E_tot (eV/atom) = -5.059

Cell: 8.7788 4.1798 9.1366 Å, 90.00 102.79 90.00°
Space group P2_1/m (No. 11)
Asymmetric unit:
Ac 0.0706 0.2500 0.3209 [2 per cell]
Ac 0.2904 0.2500 0.9874 [2 per cell]
Ac 0.3898 0.7500 0.6352 [2 per cell]
Ni 0.1618 0.2500 0.6581 [2 per cell]
Pd 0.3322 0.7500 0.2635 [2 per cell]



No. 19
Compound: KLiPb2
Source: Alexandria via LeMat-Bulk
Functional: PBE
Structure: relaxed

Computed properties:
- ΔE_f (eV per atom) = -0.08
- mass density (g/cm³) = 6.54
- crystal system = trigonal
- magnetic moment (μB per formula unit) = 0.0
- E_tot (eV/atom) = -2.683

Cell: 3.5101 3.5101 32.8794 Å, 90.00 90.00 120.00°
Space group R-3m (No. 166, hexagonal axes)
Asymmetric unit:
K 0.0000 0.0000 0.0000 [3 per cell]
Li 0.0000 0.0000 0.5000 [3 per cell]
Pb 0.0000 0.0000 0.2387 [6 per cell]



No. 20
Compound: Sm3UOs3
Source: Alexandria via LeMat-Bulk
Functional: PBE
Structure: relaxed

Computed properties:
- ΔE_f (eV per atom) = -0.09
- mass density (g/cm³) = 12.49
- crystal system = monoclinic
- magnetic moment (μB per formula unit) = 0.0
- E_tot (eV/atom) = -8.535

Cell: 10.6341 4.6612 14.4998 Å, 90.00 111.21 90.00°
Space group C2/m (No. 12)
Asymmetric unit:
Sm 0.0035 0.0000 0.1315 [4 per cell]
Sm 0.1138 0.0000 0.4282 [4 per cell]
Sm 0.2470 0.0000 0.7191 [4 per cell]
U 0.2000 0.5000 0.9027 [4 per cell]
Os 0.0628 0.5000 0.7314 [4 per cell]
Os 0.1026 0.5000 0.5722 [4 per cell]
Os 0.1405 0.5000 0.0535 [4 per cell]



No. 21
Compound: Mg2TaFe
Source: Alexandria via LeMat-Bulk
Functional: PBE
Structure: relaxed

Computed properties:
- ΔE_f (eV per atom) = 0.32
- mass density (g/cm³) = 6.92
- crystal system = tetragonal
- magnetic moment (μB per formula unit) = 2.4
- E_tot (eV/atom) = -5.560

Cell: 2.8296 2.8296 8.5512 Å, 90.00 90.00 90.00°
Space group P4/mmm (No. 123)
Asymmetric unit:
Mg 0.0000 0.0000 0.2285 [2 per cell]
Ta 0.5000 0.5000 0.5000 [1 per cell]
Fe 0.5000 0.5000 0.0000 [1 per cell]